# 1
12
Lattice="3.493 -3.626 0.000 3.493 3.626 0.000 0.000 0.000 6.848" Properties=species:S:1:pos:R:3 comment="PBE Y2NpScO8, relaxed" final_energy_ev_per_cell=-109.56 magnetic_moment_mub_per_fu=0.0 pbc="T T T"
Y 0.000 0.000 1.628
Y 0.000 0.000 5.220
Np 3.493 0.000 3.424
Sc 3.493 0.000 0.000
O 1.448 0.000 0.000
O 1.491 0.000 3.424
O 3.493 1.300 1.840
O 3.493 1.300 5.008
O 3.493 -1.300 1.840
O 3.493 -1.300 5.008
O 5.496 0.000 3.424
O 5.539 0.000 0.000

=====

# 2
12
Lattice="3.467 -3.481 0.000 3.467 3.481 0.000 0.000 0.000 6.802" Properties=species:S:1:pos:R:3 comment="PBE YNpSc2O8, relaxed" final_energy_ev_per_cell=-109.36 magnetic_moment_mub_per_fu=0.0 pbc="T T T"
Y 0.000 0.000 0.000
Np 0.000 0.000 3.401
Sc 3.467 0.000 1.570
Sc 3.467 0.000 5.232
O 1.350 0.000 1.859
O 1.350 0.000 4.943
O 3.467 1.484 3.401
O 3.467 1.271 0.000
O 3.467 -1.271 0.000
O 3.467 -1.484 3.401
O 5.585 0.000 1.859
O 5.585 0.000 4.943

=====

# 3
12
Lattice="3.517 -3.340 0.000 3.517 3.340 0.000 -0.469 0.000 6.539" Properties=species:S:1:pos:R:3 comment="PBE NpSc2ZnO8, relaxed" final_energy_ev_per_cell=-96.73 magnetic_moment_mub_per_fu=0.4 pbc="T T T"
Np 0.000 0.000 0.000
Sc 3.035 0.000 4.789
Sc 3.531 0.000 1.749
Zn -0.234 0.000 3.269
O 0.934 0.000 4.927
O 1.338 0.000 1.383
O 3.283 1.334 3.269
O 3.517 1.327 0.000
O 3.517 -1.327 0.000
O 3.283 -1.334 3.269
O 5.228 0.000 5.156
O 5.633 0.000 1.612

=====

# 4
10
Lattice="2.703 1.560 4.905 -2.703 1.560 4.905 0.000 -3.121 4.905" Properties=species:S:1:pos:R:3 comment="PBE NpScZn2O6, relaxed" final_energy_ev_per_cell=-75.56 magnetic_moment_mub_per_fu=2.0 pbc="T T T"
Np 0.000 0.000 0.000
Sc 0.000 0.000 7.336
Zn 0.000 0.000 3.216
Zn 0.000 0.000 10.527
O -1.822 0.130 6.262
O -0.857 -1.418 8.705
O 0.798 -1.643 6.262
O -0.799 1.451 8.705
O 1.023 1.513 6.262
O 1.657 -0.034 8.705

=====

# 5
12
Lattice="6.221 0.000 0.000 0.000 6.221 0.000 0.000 0.000 6.221" Properties=species:S:1:pos:R:3 comment="PBE NpSeO, relaxed" polymorph_energy_ev_per_fu=2.36 magnetic_moment_mub_per_fu=3.0 pbc="T T T"
Np 0.000 0.000 0.000
Np 0.000 3.110 3.110
Np 3.110 0.000 3.110
Np 3.110 3.110 0.000
Se 1.555 1.555 4.666
Se 1.555 4.666 1.555
Se 4.666 1.555 1.555
Se 4.666 4.666 4.666
O 1.555 1.555 1.555
O 1.555 4.666 4.666
O 4.666 1.555 4.666
O 4.666 4.666 1.555

=====

# 6
4
Lattice="3.289 0.000 0.000 0.000 3.289 0.000 0.000 0.000 6.752" Properties=species:S:1:pos:R:3 comment="PBE Np2SeO, relaxed" polymorph_energy_ev_per_fu=1.97 magnetic_moment_mub_per_fu=9.7 pbc="T T T"
Np 0.000 0.000 1.489
Np 0.000 0.000 5.263
Se 1.644 1.644 3.376
O 1.644 1.644 0.000

=====

Which formula does entry 4 have?
NpScZn2O6